[1]
A relaxed CoIrNO crystal. Source: the Open Quantum Materials Database, functional PBE with a Hubbard U.

a = 5.187 Å, b = 7.023 Å, c = 5.023 Å
α = 90.00°, β = 90.00°, γ = 90.00°
Space group Pca2_1 (No. 29)
Unique sites:
Co: 0.073 0.117 0.000 [4 per cell]
Ir: 0.035 0.574 0.028 [4 per cell]
N: 0.108 0.668 0.652 [4 per cell]
O: 0.065 0.134 0.608 [4 per cell]

## Properties
ΔE to the lowest computed polymorph	0	meV per atom



[2]
A relaxed CoIrNO crystal. Source: the Open Quantum Materials Database, functional PBE with a Hubbard U.

a = 2.932 Å, b = 6.126 Å, c = 5.048 Å
α = 90.00°, β = 90.00°, γ = 90.00°
Space group Pmc2_1 (No. 26)
Unique sites:
Co: 0.000 0.141 0.000 [2 per cell]
Ir: 0.500 0.412 0.477 [2 per cell]
N: 0.500 0.292 0.845 [2 per cell]
O: 0.000 0.163 0.390 [2 per cell]

## Properties
ΔE to the lowest computed polymorph	198	meV per atom



[3]
A relaxed CoIrNO crystal. Source: the Open Quantum Materials Database, functional PBE with a Hubbard U.

a = 2.797 Å, b = 5.727 Å, c = 5.386 Å
α = 90.00°, β = 90.00°, γ = 90.00°
Space group Pmc2_1 (No. 26)
Unique sites:
Co: 0.000 0.132 0.000 [2 per cell]
Ir: 0.500 0.276 0.575 [2 per cell]
N: 0.000 0.161 0.351 [2 per cell]
O: 0.500 0.376 0.939 [2 per cell]

## Properties
ΔE to the lowest computed polymorph	240	meV per atom



[4]
A relaxed CoIrNO crystal. Source: the Open Quantum Materials Database, functional PBE with a Hubbard U.

a = 3.754 Å, b = 3.754 Å, c = 7.040 Å
α = 90.00°, β = 90.00°, γ = 90.00°
Space group P4/nmm (No. 129, origin choice 2)
Unique sites:
Co: 0.250 0.250 0.082 [2 per cell]
Ir: 0.250 0.750 0.500 [2 per cell]
N: 0.250 0.250 0.639 [2 per cell]
O: 0.250 0.750 0.000 [2 per cell]

## Properties
ΔE to the lowest computed polymorph	377	meV per atom